1.
Compound: CaEuZn4
Source: the Alexandria database
Functional: PBE-GGA
Structure: relaxed

a b c (Å): 5.612 5.612 5.612
angles (deg): 60.00 60.00 60.00
Fractional coordinates of all 6 atoms:
Ca  0.000  0.000  0.000
Eu  0.750  0.750  0.750
Zn  0.375  0.375  0.375
Zn  0.375  0.375  0.875
Zn  0.375  0.875  0.375
Zn  0.875  0.375  0.375

Computed properties:
- Energy of formation: -0.2521 eV per atom


2.
Compound: CaEu3Zn
Source: the Alexandria database
Functional: PBE-GGA
Structure: relaxed

a b c (Å): 5.964 5.964 5.964
angles (deg): 90.00 90.00 90.00
Fractional coordinates of all 5 atoms:
Ca  0.000  0.000  0.000
Eu  0.000  0.500  0.500
Eu  0.500  0.000  0.500
Eu  0.500  0.500  0.000
Zn  0.500  0.500  0.500

Computed properties:
- Energy of formation: 0.0433 eV per atom


3.
Compound: Ca2EuZn
Source: the Alexandria database
Functional: PBE-GGA
Structure: relaxed

a b c (Å): 4.988 4.988 5.317
angles (deg): 90.00 90.00 90.00
Fractional coordinates of all 4 atoms:
Ca  0.000  0.500  0.000
Ca  0.500  0.000  0.000
Eu  0.000  0.000  0.500
Zn  0.500  0.500  0.500

Computed properties:
- Energy of formation: 0.0158 eV per atom
- Relative energy among the computed polymorphs: 0.1183 eV per atom


4.
Compound: Ca2EuZn
Source: the Alexandria database
Functional: PBE-GGA
Structure: relaxed

a b c (Å): 7.972 7.972 7.972
angles (deg): 90.00 90.00 90.00
Fractional coordinates of all 16 atoms:
Ca  0.250  0.250  0.250
Ca  0.250  0.250  0.750
Ca  0.250  0.750  0.250
Ca  0.250  0.750  0.750
Ca  0.750  0.250  0.250
Ca  0.750  0.250  0.750
Ca  0.750  0.750  0.250
Ca  0.750  0.750  0.750
Eu  0.000  0.000  0.000
Eu  0.000  0.500  0.500
Eu  0.500  0.000  0.500
Eu  0.500  0.500  0.000
Zn  0.000  0.000  0.500
Zn  0.000  0.500  0.000
Zn  0.500  0.000  0.000
Zn  0.500  0.500  0.500

Computed properties:
- Energy of formation: 0.0637 eV per atom
- Relative energy among the computed polymorphs: 0.1662 eV per atom


5.
Compound: Ca2EuZn
Source: the Alexandria database
Functional: PBE-GGA
Structure: relaxed

a b c (Å): 3.741 3.741 9.628
angles (deg): 90.00 90.00 90.00
Fractional coordinates of all 4 atoms:
Ca  0.000  0.000  0.185
Ca  0.000  0.000  0.815
Eu  0.500  0.500  0.500
Zn  0.500  0.500  0.000

Computed properties:
- Energy of formation: -0.1025 eV per atom
- Relative energy among the computed polymorphs: 0.0000 eV per atom


6.
Compound: Ca2EuZn
Source: the Alexandria database
Functional: PBE-GGA
Structure: relaxed

a b c (Å): 3.817 3.817 34.873
angles (deg): 90.00 90.00 120.00
Fractional coordinates of all 12 atoms:
Ca  0.000  0.000  0.105
Ca  0.000  0.000  0.895
Ca  0.333  0.667  0.562
Ca  0.333  0.667  0.772
Ca  0.667  0.333  0.228
Ca  0.667  0.333  0.438
Eu  0.000  0.000  0.000
Eu  0.333  0.667  0.667
Eu  0.667  0.333  0.333
Zn  0.000  0.000  0.500
Zn  0.333  0.667  0.167
Zn  0.667  0.333  0.833

Computed properties:
- Energy of formation: 0.0868 eV per atom
- Relative energy among the computed polymorphs: 0.1893 eV per atom


7.
Compound: Ca2EuZr
Source: the Alexandria database
Functional: PBE-GGA
Structure: relaxed

a b c (Å): 3.459 3.459 39.299
angles (deg): 90.00 90.00 120.00
Fractional coordinates of all 12 atoms:
Ca  0.000  0.000  0.083
Ca  0.000  0.000  0.917
Ca  0.333  0.667  0.584
Ca  0.333  0.667  0.749
Ca  0.667  0.333  0.251
Ca  0.667  0.333  0.416
Eu  0.000  0.000  0.500
Eu  0.333  0.667  0.167
Eu  0.667  0.333  0.833
Zr  0.000  0.000  0.000
Zr  0.333  0.667  0.667
Zr  0.667  0.333  0.333

Computed properties:
- Energy of formation: 0.4780 eV per atom


8.
Compound: CaEu2Zr
Source: the Alexandria database
Functional: PBE-GGA
Structure: relaxed

a b c (Å): 3.488 3.488 38.474
angles (deg): 90.00 90.00 120.00
Fractional coordinates of all 12 atoms:
Ca  0.000  0.000  0.000
Ca  0.333  0.667  0.667
Ca  0.667  0.333  0.333
Eu  0.000  0.000  0.419
Eu  0.000  0.000  0.581
Eu  0.333  0.667  0.085
Eu  0.333  0.667  0.248
Eu  0.667  0.333  0.752
Eu  0.667  0.333  0.915
Zr  0.000  0.000  0.500
Zr  0.333  0.667  0.167
Zr  0.667  0.333  0.833

Computed properties:
- Energy of formation: 0.4476 eV per atom


9.
Compound: CaF2
Source: the Alexandria database
Functional: PBE-GGA
Structure: relaxed

a b c (Å): 6.015 3.640 7.064
angles (deg): 90.00 90.00 90.00
Fractional coordinates of all 12 atoms:
Ca  0.249  0.250  0.106
Ca  0.251  0.750  0.606
Ca  0.749  0.250  0.394
Ca  0.751  0.750  0.894
F  0.015  0.250  0.839
F  0.142  0.250  0.423
F  0.358  0.750  0.923
F  0.485  0.750  0.339
F  0.515  0.250  0.661
F  0.642  0.250  0.077
F  0.858  0.750  0.577
F  0.985  0.750  0.161

Computed properties:
- Relative energy among the computed polymorphs: 0.0527 eV per atom


10.
Compound: Ca2F3
Source: the Alexandria database
Functional: PBE-GGA
Structure: relaxed

a b c (Å): 6.122 6.122 6.122
angles (deg): 61.23 61.23 61.23
Fractional coordinates of all 10 atoms:
Ca  0.133  0.133  0.133
Ca  0.367  0.367  0.367
Ca  0.633  0.633  0.633
Ca  0.867  0.867  0.867
F  0.019  0.750  0.481
F  0.250  0.519  0.981
F  0.481  0.019  0.750
F  0.519  0.981  0.250
F  0.750  0.481  0.019
F  0.981  0.250  0.519

Computed properties:
- VASP energy: -5.220 eV/atom


11.
Compound: CaF4
Source: the Alexandria database
Functional: PBE-GGA
Structure: relaxed

a b c (Å): 7.926 4.367 4.272
angles (deg): 90.00 90.70 90.00
Fractional coordinates of all 10 atoms:
Ca  0.000  0.000  0.000
Ca  0.500  0.500  0.000
F  0.125  0.000  0.502
F  0.125  0.500  0.999
F  0.375  0.000  0.001
F  0.375  0.500  0.498
F  0.625  0.000  0.999
F  0.625  0.500  0.502
F  0.875  0.000  0.498
F  0.875  0.500  0.001

Computed properties:
- Relative energy among the computed polymorphs: 0.0000 eV per atom


12.
Compound: CaF8
Source: the Alexandria database
Functional: PBE-GGA
Structure: relaxed

a b c (Å): 5.251 5.251 5.251
angles (deg): 100.78 100.78 128.75
Fractional coordinates of all 9 atoms:
Ca  0.000  0.000  0.000
F  0.000  0.356  0.356
F  0.000  0.644  0.644
F  0.344  0.344  0.687
F  0.344  0.656  0.000
F  0.356  0.000  0.356
F  0.644  0.000  0.644
F  0.656  0.344  0.000
F  0.656  0.656  0.313

Computed properties:
- VASP energy: -2.723 eV/atom


13.
Compound: CaF3
Source: the Alexandria database
Functional: PBE-GGA
Structure: relaxed

a b c (Å): 4.008 4.008 7.476
angles (deg): 90.00 90.00 120.00
Fractional coordinates of all 8 atoms:
Ca  0.333  0.667  0.250
Ca  0.667  0.333  0.750
F  0.000  0.000  0.250
F  0.000  0.000  0.750
F  0.333  0.667  0.565
F  0.333  0.667  0.935
F  0.667  0.333  0.065
F  0.667  0.333  0.435

Computed properties:
- VASP energy: -4.695 eV/atom


14.
Compound: CaF5
Source: the Alexandria database
Functional: PBE-GGA
Structure: relaxed

a b c (Å): 3.843 3.893 7.409
angles (deg): 92.76 93.26 119.19
Fractional coordinates of all 6 atoms:
Ca  0.000  0.000  0.000
F  0.294  0.638  0.894
F  0.301  0.135  0.333
F  0.685  0.899  0.711
F  0.697  0.359  0.096
F  0.995  0.956  0.462

Computed properties:
- Relative energy among the computed polymorphs: 0.0000 eV per atom


15.
Compound: CaF2
Source: the Alexandria database
Functional: PBE-GGA
Structure: relaxed

a b c (Å): 3.746 3.746 3.021
angles (deg): 90.00 90.00 90.00
Fractional coordinates of all 3 atoms:
Ca  0.000  0.000  0.000
F  0.000  0.500  0.500
F  0.500  0.000  0.500

Computed properties:
- Relative energy among the computed polymorphs: 0.2405 eV per atom


16.
Compound: CaF2
Source: the Alexandria database
Functional: PBE-GGA
Structure: relaxed

a b c (Å): 3.536 4.163 5.976
angles (deg): 90.00 90.00 90.00
Fractional coordinates of all 6 atoms:
Ca  0.000  0.144  0.000
Ca  0.000  0.856  0.500
F  0.000  0.368  0.649
F  0.000  0.632  0.149
F  0.500  0.087  0.277
F  0.500  0.913  0.777

Computed properties:
- Relative energy among the computed polymorphs: 0.1822 eV per atom


17.
Compound: CaF3
Source: the Alexandria database
Functional: PBE-GGA
Structure: relaxed

a b c (Å): 4.212 4.212 9.218
angles (deg): 90.00 90.00 120.00
Fractional coordinates of all 12 atoms:
Ca  0.000  0.000  0.000
Ca  0.333  0.667  0.667
Ca  0.667  0.333  0.333
F  0.000  0.000  0.265
F  0.000  0.000  0.500
F  0.000  0.000  0.735
F  0.333  0.667  0.167
F  0.333  0.667  0.401
F  0.333  0.667  0.932
F  0.667  0.333  0.068
F  0.667  0.333  0.599
F  0.667  0.333  0.833

Computed properties:
- VASP energy: -4.660 eV/atom


18.
Compound: CaF4
Source: the Alexandria database
Functional: PBE-GGA
Structure: relaxed

a b c (Å): 4.502 4.502 4.502
angles (deg): 90.00 90.00 90.00
Fractional coordinates of all 5 atoms:
Ca  0.000  0.000  0.000
F  0.000  0.000  0.500
F  0.000  0.500  0.000
F  0.500  0.000  0.000
F  0.500  0.500  0.500

Computed properties:
- Relative energy among the computed polymorphs: 0.2166 eV per atom


19.
Compound: CaF2
Source: the Alexandria database
Functional: PBE-GGA
Structure: relaxed

a b c (Å): 3.235 3.235 7.084
angles (deg): 90.00 90.00 90.00
Fractional coordinates of all 6 atoms:
Ca  0.000  0.000  0.000
Ca  0.500  0.500  0.500
F  0.000  0.000  0.340
F  0.000  0.000  0.660
F  0.500  0.500  0.160
F  0.500  0.500  0.840

Computed properties:
- Relative energy among the computed polymorphs: 0.3964 eV per atom


20.
Compound: CaF3
Source: the Alexandria database
Functional: PBE-GGA
Structure: relaxed

a b c (Å): 6.836 4.604 4.604
angles (deg): 90.00 131.51 90.00
Fractional coordinates of all 8 atoms:
Ca  0.000  0.000  0.000
Ca  0.500  0.500  0.000
F  0.000  0.000  0.500
F  0.000  0.500  0.000
F  0.000  0.500  0.500
F  0.500  0.000  0.000
F  0.500  0.000  0.500
F  0.500  0.500  0.500

Computed properties:
- VASP energy: -4.573 eV/atom


21.
Compound: CaF3
Source: the Alexandria database
Functional: PBE-GGA
Structure: relaxed

a b c (Å): 3.592 3.592 17.028
angles (deg): 90.00 90.00 90.00
Fractional coordinates of all 16 atoms:
Ca  0.000  0.000  0.000
Ca  0.000  0.500  0.250
Ca  0.500  0.000  0.750
Ca  0.500  0.500  0.500
F  0.000  0.000  0.500
F  0.000  0.500  0.750
F  0.139  0.250  0.125
F  0.250  0.639  0.375
F  0.250  0.861  0.875
F  0.361  0.250  0.625
F  0.500  0.000  0.250
F  0.500  0.500  0.000
F  0.639  0.750  0.625
F  0.750  0.139  0.875
F  0.750  0.361  0.375
F  0.861  0.750  0.125

Computed properties:
- VASP energy: -4.533 eV/atom


22.
Compound: CaF5
Source: the Alexandria database
Functional: PBE-GGA
Structure: relaxed

a b c (Å): 3.376 13.210 3.378
angles (deg): 90.00 90.00 90.00
Fractional coordinates of all 12 atoms:
Ca  0.000  0.000  0.000
Ca  0.500  0.500  0.000
F  0.000  0.145  0.500
F  0.000  0.355  0.000
F  0.000  0.500  0.500
F  0.000  0.645  0.000
F  0.000  0.855  0.500
F  0.500  0.000  0.500
F  0.500  0.145  0.000
F  0.500  0.355  0.500
F  0.500  0.645  0.500
F  0.500  0.855  0.000

Computed properties:
- Relative energy among the computed polymorphs: 0.2722 eV per atom


23.
Compound: CaF3
Source: the Alexandria database
Functional: PBE-GGA
Structure: relaxed

a b c (Å): 4.941 4.941 4.508
angles (deg): 90.00 90.00 120.00
Fractional coordinates of all 8 atoms:
Ca  0.333  0.667  0.250
Ca  0.667  0.333  0.750
F  0.176  0.352  0.750
F  0.176  0.824  0.750
F  0.352  0.176  0.250
F  0.648  0.824  0.750
F  0.824  0.176  0.250
F  0.824  0.648  0.250

Computed properties:
- VASP energy: -4.604 eV/atom


24.
Compound: CaF2
Source: the Alexandria database
Functional: PBE-GGA
Structure: relaxed

a b c (Å): 5.510 5.510 5.510
angles (deg): 90.00 90.00 90.00
Fractional coordinates of all 12 atoms:
Ca  0.000  0.000  0.000
Ca  0.000  0.500  0.500
Ca  0.500  0.000  0.500
Ca  0.500  0.500  0.000
F  0.250  0.250  0.250
F  0.250  0.250  0.750
F  0.250  0.750  0.250
F  0.250  0.750  0.750
F  0.750  0.250  0.250
F  0.750  0.250  0.750
F  0.750  0.750  0.250
F  0.750  0.750  0.750

Computed properties:
- Relative energy among the computed polymorphs: 0.0000 eV per atom